[1]
## Na14InHg (PBE-GGA)

Data for an optimized crystal structure of Na14InHg.

a b c (Å): 7.1723 7.1723 10.3452
angles (deg): 90.00 90.00 90.00
Element x y z (fractional)
Na1 0.1257 0.6243 0.7261
Na2 0.6243 0.6243 0.7260
Na3 0.3750 0.3750 0.0000
Na4 0.8750 0.3750 0.5000
Na5 0.3750 0.8750 0.5000
Na6 0.6243 0.6243 0.2740
Na7 0.1257 0.6243 0.2739
Na8 0.8750 0.3750 0.0000
Na9 0.6243 0.1257 0.2739
Na10 0.6243 0.1257 0.7261
In1 0.8750 0.8750 0.5000
Hg1 0.3750 0.3750 0.5000
Na11 0.8750 0.8750 0.0000
Na12 0.1257 0.1257 0.2740
Na13 0.1257 0.1257 0.7260
Na14 0.3750 0.8750 0.0000

Results
- SG: P4/mmm (123)
- Calculated volume: 33.3 Å³/atom
- Total magnetization: 0.00 μB/f.u.
- Energy of formation: -0.0445 eV/atom
- VASP energy: -1.39 eV per atom

[2]
## NaMnAs2 (PBE-GGA)

Data for an optimized crystal structure of NaMnAs2.

a b c (Å): 2.9577 2.9577 7.6262
angles (deg): 90.00 90.00 90.00
Element x y z (fractional)
As1 0.0000 0.0000 0.1911
As2 0.0000 0.0000 0.8089
Mn1 0.5000 0.5000 0.0000
Na1 0.5000 0.5000 0.5000

Results
- Relative energy among the computed polymorphs: 0.075 eV/atom
- SG: P4/mmm (123)
- Calculated volume: 16.7 Å³/atom
- Total magnetization: 0.00 μB/f.u.
- Energy of formation: -0.1785 eV/atom
- VASP energy: -5.13 eV per atom

[3]
## BeRhBr (PBE-GGA)

Data for an optimized crystal structure of BeRhBr.

a b c (Å): 6.1263 3.5654 8.3610
angles (deg): 115.23 46.96 106.91
Element x y z (fractional)
Rh1 0.3114 0.7926 0.3593
Be1 0.2637 0.1158 0.2062
Br1 0.4509 0.8408 0.8377
Be2 0.9132 0.6160 0.3817
Rh2 0.8658 0.2927 0.5823
Br2 0.7262 0.3409 0.2002

Results
- Relative energy among the computed polymorphs: 0.259 eV/atom
- SG: Ima2 (46)
- Formation energy from raw total energies: -0.169 eV/atom
- Calculated volume: 20.1 Å³/atom
- Total magnetization: 0.00 μB/f.u.
- VASP energy: -4.42 eV per atom

[4]
## Li5Ti12O24 (PBE-GGA)

Data for an optimized crystal structure of Li5Ti12O24.

a b c (Å): 8.8938 5.0924 9.7143
angles (deg): 89.84 90.00 90.00
Element x y z (fractional)
Li1 0.6670 0.9335 0.5342
O1 0.0000 0.7203 0.7147
O2 0.3347 0.3040 0.5350
O3 0.3267 0.8034 0.2255
O4 0.3371 0.7068 0.7141
O5 0.8384 0.8016 0.9643
Li2 0.5000 0.4243 0.9671
Ti1 0.3255 0.9645 0.8650
O6 0.1625 0.3090 0.2770
O7 0.5000 0.2964 0.2744
Ti2 0.1737 0.0324 0.1407
Ti3 0.3386 0.5112 0.3579
O8 0.8349 0.7078 0.4664
O9 0.1651 0.7078 0.4664
Ti4 0.6745 0.9645 0.8650
O10 0.8251 0.1957 0.7755
O11 0.6629 0.7068 0.7141
Ti5 0.1616 0.4809 0.6423
Ti6 0.6614 0.5112 0.3579
Li3 0.0000 0.9405 0.5328
O12 0.6653 0.3040 0.5350
O13 0.0000 0.2034 0.0357
O14 0.6623 0.1917 0.0358
Ti7 0.5000 0.4654 0.6442
Ti8 0.5000 0.9962 0.1449
Ti9 0.8263 0.0324 0.1407
Ti10 0.0000 0.5269 0.3564
O15 0.3377 0.1917 0.0358
O16 0.0000 0.7995 0.2146
O17 0.6733 0.8034 0.2255
O18 0.5000 0.7929 0.9628
Ti11 0.8384 0.4809 0.6423
O19 0.5000 0.2045 0.7864
O20 0.8375 0.3090 0.2770
O21 0.1749 0.1957 0.7755
O22 0.0000 0.3047 0.5340
Li4 0.0000 0.5727 0.0384
Ti12 0.0000 0.0048 0.8596
O23 0.5000 0.7082 0.4649
Li5 0.3330 0.9335 0.5342
O24 0.1616 0.8016 0.9643

Results
- SG: Pm (6)
- Formation energy from raw total energies: -2.838 eV/atom
- Calculated volume: 10.7 Å³/atom
- Total magnetization: 5.15 μB/f.u.
- VASP energy: -8.28 eV per atom

[5]
## AuO (PBE-GGA)

Data for an optimized crystal structure of AuO.

a b c (Å): 4.7636 4.7636 4.7636
angles (deg): 90.00 90.00 90.00
Element x y z (fractional)
O1 0.0000 0.5000 0.5000
O2 0.0000 0.0000 0.0000
Au1 0.5000 0.0000 0.0000
Au2 0.0000 0.5000 0.0000
O3 0.5000 0.0000 0.5000
Au3 0.0000 0.0000 0.5000
O4 0.5000 0.5000 0.0000
Au4 0.5000 0.5000 0.5000

Results
- SG: Fm-3m (225)
- Formation energy from raw total energies: 0.437 eV/atom
- Calculated volume: 13.5 Å³/atom
- Total magnetization: 0.00 μB/f.u.
- VASP energy: -3.68 eV per atom

[6]
## ZnCrCo (PBE-GGA)

Data for an optimized crystal structure of ZnCrCo.

a b c (Å): 5.6546 5.6574 5.6574
angles (deg): 153.64 153.63 37.64
Element x y z (fractional)
Cr1 0.3464 0.3467 0.9997
Co1 0.9924 0.9917 0.0006
Zn1 0.6613 0.6616 0.9997

Results
- Relative energy among the computed polymorphs: 0.000 eV/atom
- SG: I4mm (107)
- Calculated volume: 11.9 Å³/atom
- Total magnetization: 0.00 μB/f.u.
- Energy of formation: 0.0798 eV/atom
- VASP energy: -5.92 eV per atom

[7]
## Sn3Sb3Se8 (PBE-GGA)

Data for an optimized crystal structure of Sn3Sb3Se8.

a b c (Å): 8.2316 8.2316 8.2316
angles (deg): 65.16 65.16 65.16
Element x y z (fractional)
Sn1 0.0000 0.5000 0.0000
Se1 0.2370 0.7705 0.2370
Se2 0.7630 0.7630 0.2295
Sn2 0.0000 0.0000 0.5000
Se3 0.7496 0.7496 0.7496
Se4 0.7705 0.2370 0.2370
Se5 0.2370 0.2370 0.7705
Se6 0.2504 0.2504 0.2504
Sn3 0.5000 0.0000 0.0000
Sb1 0.6141 0.6141 0.6141
Sb2 0.0000 0.0000 0.0000
Se7 0.2295 0.7630 0.7630
Sb3 0.3859 0.3859 0.3859
Se8 0.7630 0.2295 0.7630

Results
- SG: R-3m (166)
- Formation energy from raw total energies: -0.231 eV/atom
- Calculated volume: 31.3 Å³/atom
- Total magnetization: 0.00 μB/f.u.
- VASP energy: -3.96 eV per atom

[8]
## Na2GaRh (PBE-GGA)

Data for an optimized crystal structure of Na2GaRh.

a b c (Å): 3.7295 3.7295 11.0110
angles (deg): 80.25 80.25 90.00
Element x y z (fractional)
Na1 0.6296 0.1250 0.2500
Rh1 0.7500 0.2500 0.5000
Na2 0.8750 0.8796 0.7500
Ga1 0.5000 0.5000 0.0000
Na3 0.1204 0.6250 0.2500
Rh2 0.0000 0.0000 0.0000
Ga2 0.2500 0.7500 0.5000
Na4 0.3750 0.3704 0.7500

Results
- SG: I-42d (122)
- Calculated volume: 18.6 Å³/atom
- Total magnetization: 0.00 μB/f.u.
- Energy of formation: 0.1075 eV/atom
- VASP energy: -3.15 eV per atom